[1]
First-principles (PBE-GGA) data for a geometry-optimized CaSmSe2O8 structure, as listed in Alexandria via LeMat-Bulk.

Its energy relative to the elements, uncorrected is -152.5 kJ/mol of atoms. As for the space group: P-3m1 (164). The value obtained for the total energy is -72.319 eV for the cell shown.

POSCAR file:
```
CaSmSe2O8
1.0
5.7784 0.0000 0.0000
-2.8892 5.0042 0.0000
0.0000 0.0000 7.0666
Ca Sm Se O
1 1 2 8
direct
0.0000 0.0000 0.0000
0.0000 0.0000 0.5000
0.6667 0.3333 0.1970
0.3333 0.6667 0.8030
0.3333 0.6667 0.0368
0.3292 0.1645 0.2680
0.8355 0.1647 0.2680
0.6667 0.3333 0.9632
0.1645 0.8353 0.7320
0.6708 0.8355 0.7320
0.1647 0.3292 0.7320
0.8353 0.6708 0.2680
```

***

[2]
First-principles (PBE-GGA) data for a geometry-optimized Ca2SnSe2O2 structure, as listed in Alexandria via LeMat-Bulk.

Its energy relative to the elements, uncorrected is -179.6 kJ/mol of atoms. As for the space group: C2/m (12). The value obtained for the total energy is -37.922 eV for the cell shown.

POSCAR file:
```
Ca2SnSe2O2
1.0
3.8467 0.0000 0.0000
1.9234 6.0222 0.3959
1.9234 1.8683 6.2433
Ca Sn Se O
2 1 2 2
direct
0.1979 0.3640 0.2401
0.8021 0.6360 0.7599
0.0000 0.0000 0.0000
0.5592 0.1957 0.6859
0.4408 0.8043 0.3141
0.1893 0.6996 0.9218
0.8107 0.3004 0.0782
```

***

[3]
First-principles (PBE-GGA) data for a geometry-optimized SrCa3Se4O12 structure, as listed in Alexandria via LeMat-Bulk.

Its energy relative to the elements, uncorrected is -138.2 kJ/mol of atoms. As for the space group: R32 (155). The value obtained for the total energy is -109.766 eV for the cell shown.

POSCAR file:
```
SrCa3Se4O12
1.0
-4.3571 1.1187 -5.6342
-0.0072 -7.1535 0.8991
-3.6752 2.5376 5.6599
Sr Ca Se O
1 3 4 12
direct
0.0000 0.0000 0.0000
0.5712 0.4288 0.0000
0.4288 0.0000 0.5712
0.0000 0.5712 0.4288
0.9072 0.0928 0.5000
0.0928 0.5000 0.9072
0.5000 0.9072 0.0928
0.5000 0.5000 0.5000
0.5000 0.3408 0.6592
0.9418 0.5000 0.0582
0.0582 0.9418 0.5000
0.5000 0.0582 0.9418
0.3442 0.0036 0.2307
0.2307 0.3442 0.0036
0.0036 0.2307 0.3442
0.6558 0.7693 0.9964
0.9964 0.6558 0.7693
0.7693 0.9964 0.6558
0.6592 0.5000 0.3408
0.3408 0.6592 0.5000
```

***

[4]
First-principles (PBE-GGA) data for a geometry-optimized SrCaSe2O6 structure, as listed in Alexandria via LeMat-Bulk.

Its energy relative to the elements, uncorrected is -172.6 kJ/mol of atoms. As for the space group: R-3 (148). The value obtained for the total energy is -58.296 eV for the cell shown.

POSCAR file:
```
SrCaSe2O6
1.0
5.6810 0.0000 0.0000
2.8405 4.9199 0.0000
2.8405 1.6400 5.8606
Sr Ca Se O
1 1 2 6
direct
0.0000 0.0000 0.0000
0.5000 0.5000 0.5000
0.7163 0.7163 0.8511
0.2837 0.2837 0.1489
0.0404 0.4775 0.7349
0.7472 0.0404 0.7349
0.5225 0.2527 0.2651
0.9596 0.5225 0.2651
0.2527 0.9596 0.2651
0.4775 0.7472 0.7349
```